# 1
LaCuW after structural relaxation, computed with GGA-PBEsol.

The size of the total moment comes out at 0.00 μB/f.u. As for the energy relative to the lowest polymorph listed for this composition: 0.0 meV per atom. The crystal system is tetragonal.

It has space group I4mm (No. 107), with a = 2.8773 Å, b = 2.8773 Å, c = 13.3353 Å, α = 90.00°, β = 90.00° and γ = 90.00°. The distinct sites, in fractional coordinates, are La at (0.0000, 0.0000, 0.0000), Cu at (0.0000, 0.0000, 0.6798) and W at (0.0000, 0.0000, 0.3032).


# 2
LaCuW2 after structural relaxation, computed with GGA-PBEsol.

The size of the total moment comes out at 0.00 μB/f.u. The total DFT energy (no corrections) is -0.6293 Ry per atom. The crystal system is monoclinic.

It has space group C2/m (No. 12), with a = 5.3994 Å, b = 10.0745 Å, c = 3.1159 Å, α = 90.00°, β = 121.87° and γ = 90.00°. The distinct sites, in fractional coordinates, are La at (0.0000, 0.0000, 0.0000), Cu at (0.0000, 0.5000, 0.0000) and W at (0.2500, 0.2500, 0.5000).


# 3
LaY2Cu after structural relaxation, computed with GGA-PBEsol.

The size of the total moment comes out at 0.00 μB/f.u. As for the energy relative to the lowest polymorph listed for this composition: 40.2 meV per atom. The crystal system is tetragonal.

It has space group P4mm (No. 99), with a = 3.5278 Å, b = 3.5278 Å, c = 8.6188 Å, α = 90.00°, β = 90.00° and γ = 90.00°. The distinct sites, in fractional coordinates, are La at (0.0000, 0.0000, 0.0000), Y at (0.0000, 0.0000, 0.3980), Y at (0.5000, 0.5000, 0.6909) and Cu at (0.5000, 0.5000, 0.2214).


# 4
LaYCu2 after structural relaxation, computed with GGA-PBEsol.

The size of the total moment comes out at 0.00 μB/f.u. As for the energy relative to the lowest polymorph listed for this composition: 31.8 meV per atom. The crystal system is cubic.

It has space group Fm-3m (No. 225), with a = 7.0180 Å, b = 7.0180 Å, c = 7.0180 Å, α = 90.00°, β = 90.00° and γ = 90.00°. The distinct sites, in fractional coordinates, are La at (0.0000, 0.0000, 0.0000), Y at (0.0000, 0.0000, 0.5000) and Cu at (0.2500, 0.2500, 0.2500).